Record 1
DFT (PBE) results for a relaxed ErGa2HRu2 crystal.

Properties
The size of the total moment is 0.000 μB per cell. Its space group is P4/mmm. Its volume is 89 Å³/cell. The total energy is -5.826 eV/atom.

Unit cell a=4.1184 b=4.1184 c=5.2652 alpha=90.00 beta=90.00 gamma=90.00
Fractional positions:
Ga (0.5000, 0.5000, 0.7296)
Ru (0.0000, 0.5000, 0.0000)
Ru (0.5000, 0.0000, 0.0000)
Ga (0.5000, 0.5000, 0.2704)
H (0.0000, 0.0000, 0.0000)
Er (0.0000, 0.0000, 0.5000)

=====

Record 2
DFT (PBE) results for a relaxed ZnAgSn crystal.

Properties
The size of the total moment is 0.000 μB per cell. Its space group is I4/mmm. As for the formation energy: 21 meV per atom. Its volume is 123 Å³/cell.

Unit cell a=3.1584 b=3.1584 c=12.5264 alpha=97.24 beta=97.24 gamma=90.00
Fractional positions:
Zn (0.7206, 0.7206, 0.4413)
Zn (0.2794, 0.2794, 0.5587)
Sn (0.4328, 0.4328, 0.8657)
Ag (0.8447, 0.8447, 0.6894)
Sn (0.5672, 0.5672, 0.1343)
Ag (0.1553, 0.1553, 0.3106)

=====

Record 3
DFT (PBE) results for a relaxed TaBP2S crystal.

Properties
The size of the total moment is 0.000 μB per cell. Its space group is P4/mmm. Its volume is 111 Å³/cell. The raw formation energy comes out at 1.076 eV/atom.

Unit cell a=4.8465 b=4.8465 c=4.7201 alpha=90.00 beta=90.00 gamma=90.00
Fractional positions:
B (0.5000, 0.5000, 0.5000)
P (0.0000, 0.5000, 0.0000)
S (0.0000, 0.0000, 0.5000)
Ta (0.0000, 0.0000, 0.0000)
P (0.5000, 0.0000, 0.0000)

=====

Record 4
DFT (PBE) results for a relaxed Hf2ZnSi2 crystal.

Properties
The size of the total moment is 0.000 μB per cell. Its space group is P4/mbm. Its volume is 186 Å³/cell. The raw formation energy comes out at -0.201 eV/atom.

Unit cell a=7.2950 b=7.2950 c=3.4998 alpha=90.00 beta=90.00 gamma=90.00
Fractional positions:
Si (0.3521, 0.1479, 0.5000)
Hf (0.3466, 0.8466, 0.0000)
Hf (0.6534, 0.1534, 0.0000)
Hf (0.8466, 0.6534, 0.0000)
Zn (0.5000, 0.5000, 0.0000)
Hf (0.1534, 0.3466, 0.0000)
Si (0.6479, 0.8521, 0.5000)
Si (0.1479, 0.6479, 0.5000)
Si (0.8521, 0.3521, 0.5000)
Zn (0.0000, 0.0000, 0.0000)

=====

Record 5
DFT (PBE) results for a relaxed ZrMoS3 crystal.

Properties
The size of the total moment is 1.949 μB per cell. Its space group is Pm-3m. Its volume is 100 Å³/cell. The raw formation energy comes out at -0.044 eV/atom.

Unit cell a=4.6406 b=4.6406 c=4.6406 alpha=90.00 beta=90.00 gamma=90.00
Fractional positions:
S (0.0000, 0.0000, 0.5000)
S (0.5000, 0.0000, 0.0000)
Zr (0.5000, 0.5000, 0.5000)
S (0.0000, 0.5000, 0.0000)
Mo (0.0000, 0.0000, 0.0000)

=====

Record 6
DFT (PBE) results for a relaxed K2CaBeI crystal.

Properties
The size of the total moment is 1.808 μB per cell. Its space group is P4/mmm. Its volume is 283 Å³/cell. The raw formation energy comes out at 0.449 eV/atom.

Unit cell a=7.3534 b=7.3534 c=5.2297 alpha=90.00 beta=90.00 gamma=90.00
Fractional positions:
Ca (0.0000, 0.0000, 0.0000)
Be (0.0000, 0.0000, 0.5000)
I (0.5000, 0.5000, 0.5000)
K (0.0000, 0.5000, 0.0000)
K (0.5000, 0.0000, 0.0000)

=====

Record 7
DFT (PBE) results for a relaxed Y4AgPt3 crystal.

Properties
The size of the total moment is 0.000 μB per cell. Its space group is R-3m. As for the formation energy: -998 meV per atom. Its volume is 176 Å³/cell.

Unit cell a=5.0005 b=5.0005 c=8.6391 alpha=73.18 beta=73.18 gamma=60.00
Fractional positions:
Y (0.3782, 0.3782, 0.8653)
Pt (0.5000, 0.5000, 0.5000)
Pt (0.2547, 0.2547, 0.2358)
Pt (0.7453, 0.7453, 0.7642)
Ag (0.0000, 0.0000, 0.0000)
Y (0.8717, 0.8717, 0.3849)
Y (0.6218, 0.6218, 0.1347)
Y (0.1283, 0.1283, 0.6151)

=====

Record 8
DFT (PBE) results for a relaxed NaCaMg2Ni crystal.

Properties
The size of the total moment is 0.000 μB per cell. Its space group is P4/mmm. As for the formation energy: 4 meV per atom. Its volume is 134 Å³/cell.

Unit cell a=5.0564 b=5.0564 c=5.2589 alpha=90.00 beta=90.00 gamma=90.00
Fractional positions:
Na (0.5000, 0.5000, 0.5000)
Mg (0.5000, 0.0000, 0.0000)
Ni (0.0000, 0.0000, 0.0000)
Ca (0.0000, 0.0000, 0.5000)
Mg (0.0000, 0.5000, 0.0000)

=====

> What is the size of the total moment in the seventh record?

0.000 μB per cell

=====

> Which value of size of the total moment does entry 5 give?

1.949 μB per cell